Entry from the Alexandria database: AlN3Cl after structural relaxation (PBE).

abc: 3.6570 3.6570 3.6570
angles: 90.00 90.00 90.00
Last column: nearest neighbours and their distance in Å.
Atoms (fractional coordinates):
Al: 0.0000 0.0000 0.0000  12 N 2.59
N: 0.0000 0.5000 0.5000  2 Cl 1.83
N: 0.5000 0.0000 0.5000  2 Cl 1.83
N: 0.5000 0.5000 0.0000  2 Cl 1.83
Cl: 0.5000 0.5000 0.5000  6 N 1.83

Summary:
DOS at the Fermi energy in states/eV/atom: 0.44
Raw formation energy in eV per atom: 2.39
Total magnetization in μB/cell: 0.000
Volume in A^3/atom: 9.8